## ZrCuRhPb (PBE-GGA)

Data for a relaxed ZrCuRhPb crystal.

Output
For the total DFT energy (no corrections), the calculation gives -24.8 eV for the cell shown. The calculation puts the density of states at the Fermi level at 1.73 states/eV per cell. The calculation puts the volume at 71.81 Å³/cell. The energy of formation from the pure elements comes out at -0.27 eV per atom.

abc: 4.666 4.666 4.666
angles: 60.00 60.00 60.00
Fractional positions:
Pb1 0.000 0.000 0.000
Rh1 0.750 0.750 0.750
Cu1 0.250 0.250 0.250
Zr1 0.500 0.500 0.500